(1)
A plane-wave DFT calculation with GGA-PBEsol was carried out for ZrNbIn2I after structural relaxation.

The space group is P4/mmm (No. 123) and the conventional cell measures 5.311, 5.311 and 5.184 Å, with angles of 90.00, 90.00 and 90.00 degrees. Symmetry generates all atoms from Zr at (0.000, 0.000, 0.000), Nb at (0.500, 0.500, 0.500), In at (0.000, 0.500, 0.500) and I at (0.500, 0.500, 0.000).

The uncorrected energy is -4.554 eV per atom. The calculation puts the mass density at 6.14 Mg/m³. The crystal system is tetragonal. The value obtained for the energy relative to the elements, uncorrected is 0.975 eV/atom.



(2)
A plane-wave DFT calculation with GGA-PBEsol was carried out for LuPaTc2 after structural relaxation.

The space group is Fm-3m (No. 225) and the conventional cell measures 6.691, 6.691 and 6.691 Å, with angles of 90.00, 90.00 and 90.00 degrees. Symmetry generates all atoms from Lu at (0.000, 0.000, 0.000), Pa at (0.000, 0.000, 0.500) and Tc at (0.250, 0.250, 0.250).

The uncorrected energy is -9.614 eV per atom. The calculation puts the mass density at 13.35 Mg/m³. The crystal system is cubic.



(3)
A plane-wave DFT calculation with GGA-PBEsol was carried out for Li2SiRu after structural relaxation.

The space group is Pmmm (No. 47) and the conventional cell measures 2.915, 3.906 and 4.387 Å, with angles of 90.00, 90.00 and 90.00 degrees. Symmetry generates all atoms from Li at (0.000, 0.000, 0.000), Li at (0.500, 0.500, 0.000), Si at (0.000, 0.500, 0.500) and Ru at (0.500, 0.000, 0.500).

The uncorrected energy is -5.259 eV per atom. The calculation puts the mass density at 4.75 Mg/m³. The crystal system is orthorhombic. The value obtained for the energy relative to the elements, uncorrected is -0.296 eV/atom.



(4)
A plane-wave DFT calculation with GGA-PBEsol was carried out for SnTe2Mo after structural relaxation.

The space group is R-3m (No. 166, hexagonal axes) and the conventional cell measures 3.0652, 3.0652 and 36.3515 Å, with angles of 90.00, 90.00 and 120.00 degrees. Symmetry generates all atoms from Sn at (0.0000, 0.0000, 0.0000), Te at (0.0000, 0.0000, 0.4250) and Mo at (0.0000, 0.0000, 0.5000).

The uncorrected energy is -5.111 eV per atom. The calculation puts the mass density at 7.91 Mg/m³. The crystal system is trigonal. The value obtained for the energy relative to the elements, uncorrected is 0.659 eV/atom.



(5)
A plane-wave DFT calculation with GGA-PBEsol was carried out for CsNaCu2O after structural relaxation.

The space group is P4/mmm (No. 123) and the conventional cell measures 5.439, 5.439 and 9.558 Å, with angles of 90.00, 90.00 and 90.00 degrees. Symmetry generates all atoms from Cs at (0.000, 0.000, 0.000), Na at (0.000, 0.000, 0.500), Cu at (0.000, 0.500, 0.000) and O at (0.500, 0.500, 0.500).

The uncorrected energy is -1.666 eV per atom. The calculation puts the mass density at 1.76 Mg/m³. The crystal system is tetragonal. The value obtained for the energy relative to the elements, uncorrected is 1.586 eV/atom.



(6)
A plane-wave DFT calculation with GGA-PBEsol was carried out for ScAs2Pt after structural relaxation.

The space group is F-43m (No. 216) and the conventional cell measures 6.539, 6.539 and 6.539 Å, with angles of 90.00, 90.00 and 90.00 degrees. Symmetry generates all atoms from Sc at (0.000, 0.000, 0.000), As at (0.000, 0.000, 0.500), As at (0.250, 0.250, 0.750) and Pt at (0.250, 0.250, 0.250).

The uncorrected energy is -6.365 eV per atom. The calculation puts the mass density at 9.26 Mg/m³. The energy relative to the lowest polymorph listed for this composition is 308 meV/atom. The crystal system is cubic.



(7)
A plane-wave DFT calculation with GGA-PBEsol was carried out for La2PtAu after structural relaxation.

The space group is R-3m (No. 166, hexagonal axes) and the conventional cell measures 4.2216, 4.2216 and 21.2450 Å, with angles of 90.00, 90.00 and 120.00 degrees. Symmetry generates all atoms from La at (0.0000, 0.0000, 0.2444), Pt at (0.0000, 0.0000, 0.5000) and Au at (0.0000, 0.0000, 0.0000).

The uncorrected energy is -6.280 eV per atom. The calculation puts the mass density at 10.18 Mg/m³. The crystal system is trigonal.



(8)
A plane-wave DFT calculation with GGA-PBEsol was carried out for MnCd2Pt after structural relaxation.

The space group is I4/mmm (No. 139) and the conventional cell measures 4.074, 4.074 and 8.009 Å, with angles of 90.00, 90.00 and 90.00 degrees. Symmetry generates all atoms from Mn at (0.000, 0.000, 0.000), Cd at (0.000, 0.500, 0.250) and Pt at (0.000, 0.000, 0.500).

The uncorrected energy is -4.826 eV per atom. The calculation puts the mass density at 11.86 Mg/m³. The crystal system is tetragonal.



(9)
A plane-wave DFT calculation with GGA-PBEsol was carried out for BaCd after structural relaxation.

The space group is Pm-3m (No. 221) and the conventional cell measures 4.154, 4.154 and 4.154 Å, with angles of 90.00, 90.00 and 90.00 degrees. Symmetry generates all atoms from Ba at (0.000, 0.000, 0.000) and Cd at (0.500, 0.500, 0.500).

The uncorrected energy is -1.973 eV per atom. The calculation puts the mass density at 5.79 Mg/m³. The crystal system is cubic.



(10)
A plane-wave DFT calculation with GGA-PBEsol was carried out for MnTl2Ni after structural relaxation.

The space group is Fm-3m (No. 225) and the conventional cell measures 6.509, 6.509 and 6.509 Å, with angles of 90.00, 90.00 and 90.00 degrees. Symmetry generates all atoms from Mn at (0.000, 0.000, 0.000), Tl at (0.250, 0.250, 0.250) and Ni at (0.000, 0.000, 0.500).

The uncorrected energy is -4.849 eV per atom. The calculation puts the mass density at 12.58 Mg/m³. The crystal system is cubic.



(11)
A plane-wave DFT calculation with GGA-PBEsol was carried out for KTc2Sb after structural relaxation.

The space group is C2/m (No. 12) and the conventional cell measures 6.136, 9.875 and 2.732 Å, with angles of 90.00, 115.91 and 90.00 degrees. Symmetry generates all atoms from K at (0.000, 0.000, 0.000), Tc at (0.250, 0.250, 0.000) and Sb at (0.000, 0.500, 0.000).

The uncorrected energy is -5.841 eV per atom. The calculation puts the mass density at 7.96 Mg/m³. The crystal system is monoclinic. The value obtained for the energy relative to the elements, uncorrected is 1.215 eV/atom.



(12)
A plane-wave DFT calculation with GGA-PBEsol was carried out for TlAsPdO2 after structural relaxation.

The space group is P4/mmm (No. 123) and the conventional cell measures 3.721, 3.721 and 6.460 Å, with angles of 90.00, 90.00 and 90.00 degrees. Symmetry generates all atoms from Tl at (0.000, 0.000, 0.000), As at (0.000, 0.000, 0.500), Pd at (0.500, 0.500, 0.000) and O at (0.000, 0.500, 0.500).

The uncorrected energy is -4.910 eV per atom. The calculation puts the mass density at 7.75 Mg/m³. The crystal system is tetragonal. The value obtained for the energy relative to the elements, uncorrected is -0.071 eV/atom.



(13)
A plane-wave DFT calculation with GGA-PBEsol was carried out for SrCa2Be after structural relaxation.

The space group is Immm (No. 71) and the conventional cell measures 3.736, 5.796 and 12.184 Å, with angles of 90.00, 90.00 and 90.00 degrees. Symmetry generates all atoms from Sr at (0.000, 0.000, 0.000), Ca at (0.000, 0.500, 0.189) and Be at (0.000, 0.000, 0.500).

The uncorrected energy is -2.251 eV per atom. The calculation puts the mass density at 2.23 Mg/m³. The crystal system is orthorhombic.



(14)
A plane-wave DFT calculation with GGA-PBEsol was carried out for NbAlCoOs2 after structural relaxation.

The space group is P4/mmm (No. 123) and the conventional cell measures 4.378, 4.378 and 4.043 Å, with angles of 90.00, 90.00 and 90.00 degrees. Symmetry generates all atoms from Nb at (0.000, 0.000, 0.000), Al at (0.500, 0.500, 0.500), Co at (0.500, 0.500, 0.000) and Os at (0.000, 0.500, 0.500).

The uncorrected energy is -8.340 eV per atom. The calculation puts the mass density at 11.99 Mg/m³. The crystal system is tetragonal.



(15)
A plane-wave DFT calculation with GGA-PBEsol was carried out for Zn2SbOs after structural relaxation.

The space group is P4/mmm (No. 123) and the conventional cell measures 3.911, 3.911 and 4.127 Å, with angles of 90.00, 90.00 and 90.00 degrees. Symmetry generates all atoms from Zn at (0.000, 0.500, 0.000), Sb at (0.000, 0.000, 0.500) and Os at (0.500, 0.500, 0.500).

The uncorrected energy is -4.558 eV per atom. The calculation puts the mass density at 11.65 Mg/m³. The crystal system is tetragonal. The value obtained for the energy relative to the elements, uncorrected is 0.426 eV/atom.



(16)
A plane-wave DFT calculation with GGA-PBEsol was carried out for MnCr2Ni after structural relaxation.

The space group is Pmm2 (No. 25) and the conventional cell measures 2.314, 3.749 and 4.972 Å, with angles of 90.00, 90.00 and 90.00 degrees. Symmetry generates all atoms from Mn at (0.000, 0.000, 0.000), Cr at (0.000, 0.000, 0.480), Cr at (0.500, 0.500, 0.749) and Ni at (0.500, 0.500, 0.240).

The uncorrected energy is -8.947 eV per atom. The calculation puts the mass density at 8.38 Mg/m³. The crystal system is orthorhombic.



(17)
A plane-wave DFT calculation with GGA-PBEsol was carried out for Na6TiMnSi6O18 after structural relaxation.

The space group is R3m (No. 160, hexagonal axes) and the conventional cell measures 10.1635, 10.1635 and 12.9592 Å, with angles of 90.00, 90.00 and 120.00 degrees. Symmetry generates all atoms from Na at (0.0538, 0.5269, 0.0000), Na at (0.1770, 0.3540, 0.8464), Ti at (0.0000, 0.0000, 0.0233), Mn at (0.0000, 0.0000, 0.7633), Si at (0.0285, 0.5142, 0.2545), Si at (0.1811, 0.3621, 0.1125), O at (0.0736, 0.4057, 0.1851), O at (0.0887, 0.1774, 0.1084), O at (0.1064, 0.2127, 0.6956), O at (0.1768, 0.0884, 0.9246) and O at (0.2215, 0.1108, 0.3385).

The uncorrected energy is -7.327 eV per atom. The calculation puts the mass density at 3.00 Mg/m³. The crystal system is trigonal. The value obtained for the energy relative to the elements, uncorrected is -2.469 eV/atom.



(18)
A plane-wave DFT calculation with GGA-PBEsol was carried out for Sc3AsH after structural relaxation.

The space group is Pm-3m (No. 221) and the conventional cell measures 4.254, 4.254 and 4.254 Å, with angles of 90.00, 90.00 and 90.00 degrees. Symmetry generates all atoms from Sc at (0.000, 0.000, 0.500), As at (0.500, 0.500, 0.500) and H at (0.000, 0.000, 0.000).

The uncorrected energy is -6.248 eV per atom. The calculation puts the mass density at 4.55 Mg/m³. The crystal system is cubic.



(19)
A plane-wave DFT calculation with GGA-PBEsol was carried out for KCd2Tc after structural relaxation.

The space group is F-43m (No. 216) and the conventional cell measures 7.035, 7.035 and 7.035 Å, with angles of 90.00, 90.00 and 90.00 degrees. Symmetry generates all atoms from K at (0.000, 0.000, 0.000), Cd at (0.000, 0.000, 0.500), Cd at (0.250, 0.250, 0.750) and Tc at (0.250, 0.250, 0.250).

The uncorrected energy is -2.651 eV per atom. The calculation puts the mass density at 6.91 Mg/m³. The energy relative to the lowest polymorph listed for this composition is 504 meV/atom. The crystal system is cubic.



(20)
A plane-wave DFT calculation with GGA-PBEsol was carried out for Li2AgSn after structural relaxation.

The space group is F-43m (No. 216) and the conventional cell measures 6.478, 6.478 and 6.478 Å, with angles of 90.00, 90.00 and 90.00 degrees. Symmetry generates all atoms from Li at (0.000, 0.000, 0.000), Li at (0.250, 0.250, 0.250), Ag at (0.250, 0.250, 0.750) and Sn at (0.000, 0.000, 0.500).

The uncorrected energy is -3.272 eV per atom. The calculation puts the mass density at 5.88 Mg/m³. The crystal system is cubic.